# 1
VASP calculation (PBE-GGA) on a relaxed TlSn2Pb8 crystal.

a b c (Å): 3.582 10.387 9.336
angles (deg): 94.54 101.06 90.00
Sites, in units of the cell vectors:
Tl1 0.500 0.000 0.000
Sn1 0.229 0.633 0.459
Sn2 0.771 0.367 0.541
Pb1 0.595 0.457 0.190
Pb2 0.317 0.097 0.634
Pb3 0.139 0.184 0.279
Pb4 0.047 0.726 0.094
Pb5 0.861 0.816 0.721
Pb6 0.683 0.903 0.366
Pb7 0.405 0.543 0.810
Pb8 0.953 0.274 0.906

Output
Energy above the most stable polymorph in this dataset ... 0.000 eV/f.u.
Space-group type ... C2/m, No. 12
Formation energy ... 19 meV/atom



# 2
VASP calculation (PBE-GGA) on a relaxed Tl3SnPb3 crystal.

a b c (Å): 9.204 9.120 9.204
angles (deg): 39.07 86.44 73.22
Sites, in units of the cell vectors:
Tl1 0.333 0.940 0.587
Tl2 0.686 0.242 0.627
Tl3 0.002 0.579 0.618
Tl4 0.998 0.421 0.382
Tl5 0.314 0.758 0.373
Tl6 0.667 0.060 0.413
Sn1 0.661 0.668 0.997
Sn2 0.339 0.332 0.003
Pb1 0.344 0.542 0.190
Pb2 0.986 0.211 0.192
Pb3 0.657 0.867 0.207
Pb4 0.343 0.133 0.793
Pb5 0.014 0.789 0.808
Pb6 0.656 0.458 0.810

Output
Energy above the most stable polymorph in this dataset ... 0.023 eV/f.u.
Space-group type ... P-1, No. 2
Formation energy ... 35 meV/atom



# 3
VASP calculation (PBE-GGA) on a relaxed Tl7SnPb5 crystal.

a b c (Å): 6.161 8.595 8.595
angles (deg): 72.03 77.51 77.51
Sites, in units of the cell vectors:
Tl1 0.635 0.382 0.382
Tl2 0.265 0.609 0.609
Tl3 0.032 0.285 0.626
Tl4 0.032 0.626 0.285
Tl5 0.321 0.230 0.230
Tl6 0.531 0.838 0.225
Tl7 0.531 0.225 0.838
Sn1 0.105 0.008 0.008
Pb1 0.409 0.954 0.621
Pb2 0.932 0.980 0.411
Pb3 0.409 0.621 0.954
Pb4 0.932 0.411 0.980
Pb5 0.865 0.832 0.832

Output
Space-group type ... Cm, No. 8
Formation energy ... 50 meV/atom



# 4
VASP calculation (PBE-GGA) on a relaxed Tl5Sn2Pb2 crystal.

a b c (Å): 3.464 8.633 9.365
angles (deg): 88.94 100.66 90.00
Sites, in units of the cell vectors:
Tl1 0.562 0.336 0.124
Tl2 0.438 0.664 0.876
Tl3 0.887 0.331 0.774
Tl4 0.113 0.669 0.226
Tl5 0.000 0.000 0.000
Sn1 0.774 0.656 0.548
Sn2 0.226 0.344 0.452
Pb1 0.672 0.003 0.345
Pb2 0.328 0.997 0.655

Output
Space-group type ... C2/m, No. 12
Formation energy ... 9 meV/atom



# 5
VASP calculation (PBE-GGA) on a relaxed Tl4Sn2Pb3 crystal.

a b c (Å): 3.511 7.845 11.582
angles (deg): 61.97 81.28 77.07
Sites, in units of the cell vectors:
Tl1 0.668 0.553 0.110
Tl2 0.004 0.325 0.667
Tl3 0.996 0.675 0.333
Tl4 0.332 0.447 0.890
Sn1 0.332 0.112 0.225
Sn2 0.668 0.888 0.775
Pb1 0.329 0.786 0.556
Pb2 0.000 0.000 0.000
Pb3 0.671 0.214 0.444

Output
Energy above the most stable polymorph in this dataset ... 0.000 eV/f.u.
Space-group type ... C2/m, No. 12
Formation energy ... 19 meV/atom



# 6
VASP calculation (PBE-GGA) on a relaxed TlSn4Pb4 crystal.

a b c (Å): 4.678 7.933 7.934
angles (deg): 85.02 72.85 72.86
Sites, in units of the cell vectors:
Tl1 0.000 0.000 0.000
Sn1 0.000 0.658 0.341
Sn2 0.000 0.342 0.659
Sn3 0.658 0.341 0.342
Sn4 0.342 0.659 0.658
Pb1 0.332 0.337 0.000
Pb2 0.668 0.663 0.000
Pb3 0.669 0.000 0.663
Pb4 0.331 0.000 0.337

Output
Energy above the most stable polymorph in this dataset ... 0.000 eV/f.u.
Space-group type ... I4/mmm, No. 139
Formation energy ... 33 meV/atom



# 7
VASP calculation (PBE-GGA) on a relaxed Tl7Sn2Pb crystal.

a b c (Å): 3.311 6.573 14.596
angles (deg): 103.01 90.00 90.00
Sites, in units of the cell vectors:
Tl1 0.000 0.800 0.600
Tl2 0.000 0.200 0.400
Tl3 0.500 0.655 0.800
Tl4 0.500 0.345 0.200
Tl5 0.500 0.855 0.200
Tl6 0.500 0.145 0.800
Tl7 0.500 0.500 0.000
Sn1 0.500 0.698 0.397
Sn2 0.500 0.302 0.603
Pb1 0.000 0.000 0.000

Output
Space-group type ... Cmmm, No. 65
Formation energy ... 73 meV/atom



# 8
VASP calculation (PBE-GGA) on a relaxed Tl12Sn6Pb crystal.

a b c (Å): 8.961 8.961 8.961
angles (deg): 106.43 106.43 106.43
Sites, in units of the cell vectors:
Tl1 0.528 0.190 0.626
Tl2 0.190 0.626 0.528
Tl3 0.626 0.528 0.190
Tl4 0.472 0.810 0.374
Tl5 0.810 0.374 0.472
Tl6 0.374 0.472 0.810
Tl7 0.300 0.041 0.822
Tl8 0.178 0.700 0.959
Tl9 0.959 0.178 0.700
Tl10 0.700 0.959 0.178
Tl11 0.822 0.300 0.041
Tl12 0.041 0.822 0.300
Sn1 0.155 0.235 0.405
Sn2 0.765 0.595 0.845
Sn3 0.595 0.845 0.765
Sn4 0.845 0.765 0.595
Sn5 0.235 0.405 0.155
Sn6 0.405 0.155 0.235
Pb1 0.000 0.000 0.000

Output
Space-group type ... R-3, No. 148
Formation energy ... 56 meV/atom



Number 1: V 30.89 A^3/atom, magnetic moment 0.00 μB per formula unit. Number 2: V 32.07 A^3/atom, magnetic moment 0.00 μB per formula unit. Number 3: V 32.09 A^3/atom, magnetic moment 0.00 μB per formula unit. Number 4: V 30.57 A^3/atom, magnetic moment 0.00 μB per formula unit. Number 5: V 30.45 A^3/atom, magnetic moment 0.00 μB per formula unit. Number 6: V 29.87 A^3/atom, magnetic moment 0.00 μB per formula unit. Number 7: V 30.95 A^3/atom, magnetic moment 0.00 μB per formula unit. Number 8: V 32.01 A^3/atom, magnetic moment 0.00 μB per formula unit.